1.
## Rb2TcF (PBE)

Data for a geometry-optimized Rb2TcF structure.

D(E_F) = 0.00 states/eV/f.u.
Magnetization = 16.0 Bohr magnetons per cell
DFT total energy = -56.72 eV/cell

a b c (Å): 8.1596 8.1596 9.4264
angles (deg): 90.00 90.00 90.00
Space group I-42d (No. 122)
Unique sites:
Rb  0.1492  0.7500  0.1250 [8 per cell]
Tc  0.0000  0.0000  0.5000 [4 per cell]
F  0.0000  0.0000  0.0000 [4 per cell]

***

2.
## Rb2TcF5 (PBE)

Data for a geometry-optimized Rb2TcF5 structure.

Magnetization = 8.0 Bohr magnetons per cell
DFT total energy = -80.18 eV/cell

a b c (Å): 6.3992 6.3992 8.4121
angles (deg): 90.00 90.00 90.00
Space group I4mm (No. 107)
Unique sites:
Rb  0.0000  0.5000  0.0000 [4 per cell]
Tc  0.0000  0.0000  0.2543 [2 per cell]
F  0.0000  0.0000  0.0039 [2 per cell]
F  0.2196  0.2196  0.2632 [8 per cell]

***

3.
## Rb2TcF (PBE)

Data for a geometry-optimized Rb2TcF structure.

D(E_F) = 9.28 states/eV/f.u.
Magnetization = 16.0 Bohr magnetons per cell
DFT total energy = -51.17 eV/cell

a b c (Å): 8.4189 8.4189 8.4189
angles (deg): 90.00 90.00 90.00
Space group Fm-3m (No. 225)
Unique sites:
Rb  0.2500  0.2500  0.2500 [8 per cell]
Tc  0.0000  0.0000  0.0000 [4 per cell]
F  0.0000  0.0000  0.5000 [4 per cell]

***

4.
## RbTcF2 (PBE)

Data for a geometry-optimized RbTcF2 structure.

D(E_F) = 4.10 states/eV/f.u.
Magnetization = 17.2 Bohr magnetons per cell
DFT total energy = -75.29 eV/cell

a b c (Å): 5.2958 5.2958 13.5548
angles (deg): 90.00 90.00 90.00
Space group I-42d (No. 122)
Unique sites:
Rb  0.0000  0.0000  0.0000 [4 per cell]
Tc  0.0000  0.0000  0.5000 [4 per cell]
F  0.1466  0.2500  0.6250 [8 per cell]

***

5.
## RbTcF6 (PBE)

Data for a geometry-optimized RbTcF6 structure.

D(E_F) = 10.30 states/eV/f.u.
Magnetization = 4.0 Bohr magnetons per cell
DFT total energy = -82.85 eV/cell

a b c (Å): 6.9200 7.8758 5.2576
angles (deg): 90.00 101.06 90.00
Space group C2/m (No. 12)
Unique sites:
Rb  0.0000  0.0000  0.0000 [2 per cell]
Tc  0.0000  0.5000  0.5000 [2 per cell]
F  0.0856  0.3303  0.7555 [8 per cell]
F  0.2434  0.0000  0.5822 [4 per cell]

***

6.
## Rb2TiTcF6 (PBE)

Data for a geometry-optimized Rb2TiTcF6 structure.

D(E_F) = 6.18 states/eV/f.u.
Magnetization = 4.0 Bohr magnetons per cell
DFT total energy = -217.28 eV/cell

a b c (Å): 8.5301 8.5301 8.5301
angles (deg): 90.00 90.00 90.00
Space group Fm-3m (No. 225)
Unique sites:
Rb  0.2500  0.2500  0.2500 [8 per cell]
Ti  0.0000  0.0000  0.0000 [4 per cell]
Tc  0.0000  0.0000  0.5000 [4 per cell]
F  0.0000  0.0000  0.2407 [24 per cell]

***

The highest DFT total energy belongs to which entry? number 3

***

Number 4 is which compound? RbTcF2

***

Please write out number 1 again, unchanged.
## Rb2TcF (PBE)

Data for a geometry-optimized Rb2TcF structure.

D(E_F) = 0.00 states/eV/f.u.
Magnetization = 16.0 Bohr magnetons per cell
DFT total energy = -56.72 eV/cell

a b c (Å): 8.1596 8.1596 9.4264
angles (deg): 90.00 90.00 90.00
Space group I-42d (No. 122)
Unique sites:
Rb  0.1492  0.7500  0.1250 [8 per cell]
Tc  0.0000  0.0000  0.5000 [4 per cell]
F  0.0000  0.0000  0.0000 [4 per cell]

***

Which of these has the lowest DFT total energy? Rb2TiTcF6